Entry 1:
The following is a PBE-GGA calculation of crystalline LiRhC2I at its relaxed geometry, from Alexandria via LeMat-Bulk.

abc: 4.348 4.348 4.891
angles: 90.00 90.00 90.00
Element x y z (fractional)
1 Li 0.000 0.000 0.000
2 Rh 0.500 0.500 0.000
3 C 0.000 0.500 0.500
4 C 0.500 0.000 0.500
5 I 0.500 0.500 0.500

Summary:
DOS(E_F) ... 0.80 states/eV per atom
Space group ... P4/mmm, No. 123
Formation energy from raw total energies ... 240 kJ/mol of atoms
DFT total energy ... -3.370 eV/atom

---

Entry 2:
The following is a PBE-GGA calculation of crystalline CdOF at its relaxed geometry, from Alexandria via LeMat-Bulk.

abc: 4.112 4.112 6.033
angles: 93.59 93.59 53.52
Element x y z (fractional)
1 Cd 0.171 0.171 0.255
2 Cd 0.829 0.829 0.745
3 O 0.407 0.407 0.541
4 O 0.593 0.593 0.459
5 F 0.147 0.147 0.870
6 F 0.853 0.853 0.130

Summary:
Space group ... C2/m, No. 12
Formation energy from raw total energies ... -132 kJ/mol of atoms
DFT total energy ... -3.945 eV/atom

---

Entry 3:
The following is a PBE-GGA calculation of crystalline CrTeRu2 at its relaxed geometry, from Alexandria via LeMat-Bulk.

abc: 4.408 4.408 4.408
angles: 60.00 60.00 60.00
Element x y z (fractional)
1 Cr 0.000 0.000 0.000
2 Te 0.750 0.750 0.750
3 Ru 0.250 0.250 0.250
4 Ru 0.500 0.500 0.500

Summary:
DOS(E_F) ... 1.29 states/eV per atom
Space group ... F-43m, No. 216
Formation energy from raw total energies ... 47 kJ/mol of atoms
DFT total energy ... -7.343 eV/atom

---

Entry 4:
The following is a PBE-GGA calculation of crystalline Tb6Pr3Dy2Tm at its relaxed geometry, from Alexandria via LeMat-Bulk.

abc: 6.222 6.222 11.888
angles: 95.00 95.00 120.00
Element x y z (fractional)
1 Tb 0.082 0.415 0.245
2 Tb 0.251 0.251 0.755
3 Tb 0.415 0.082 0.245
4 Tb 0.585 0.918 0.755
5 Tb 0.749 0.749 0.245
6 Tb 0.918 0.585 0.755
7 Pr 0.167 0.833 0.500
8 Pr 0.500 0.500 0.500
9 Pr 0.833 0.167 0.500
10 Dy 0.333 0.667 0.000
11 Dy 0.667 0.333 0.000
12 Tm 0.000 0.000 0.000

Summary:
DOS(E_F) ... 1.34 states/eV per atom
Space group ... C2/m, No. 12
DFT total energy ... -4.631 eV/atom

---

Entry 5:
The following is a PBE-GGA calculation of crystalline NbPHCl2 at its relaxed geometry, from Alexandria via LeMat-Bulk.

abc: 4.753 4.753 3.255
angles: 90.00 90.00 90.00
Element x y z (fractional)
1 Nb 0.000 0.000 0.000
2 P 0.500 0.500 0.000
3 H 0.500 0.500 0.500
4 Cl 0.000 0.500 0.500
5 Cl 0.500 0.000 0.500

Summary:
DOS(E_F) ... 0.68 states/eV per atom
Space group ... P4/mmm, No. 123
DFT total energy ... -3.961 eV/atom

---

Entry 6:
The following is a PBE-GGA calculation of crystalline Ho2BeCo6Si at its relaxed geometry, from Alexandria via LeMat-Bulk.

abc: 5.831 5.831 5.831
angles: 60.00 60.00 60.00
Element x y z (fractional)
1 Ho 0.250 0.250 0.250
2 Ho 0.750 0.750 0.750
3 Be 0.000 0.000 0.000
4 Co 0.240 0.240 0.760
5 Co 0.240 0.760 0.240
6 Co 0.240 0.760 0.760
7 Co 0.760 0.240 0.240
8 Co 0.760 0.240 0.760
9 Co 0.760 0.760 0.240
10 Si 0.500 0.500 0.500

Summary:
DOS(E_F) ... 0.41 states/eV per atom
Space group ... Fm-3m, No. 225
Formation energy from raw total energies ... -8 kJ/mol of atoms
DFT total energy ... -6.174 eV/atom

---

Entry 7:
The following is a PBE-GGA calculation of crystalline LiSmGa2 at its relaxed geometry, from Alexandria via LeMat-Bulk.

abc: 7.421 3.864 11.704
angles: 90.00 90.00 90.00
Element x y z (fractional)
1 Li 0.118 0.250 0.048
2 Li 0.382 0.750 0.548
3 Li 0.618 0.250 0.452
4 Li 0.882 0.750 0.952
5 Sm 0.139 0.250 0.361
6 Sm 0.361 0.750 0.861
7 Sm 0.639 0.250 0.139
8 Sm 0.861 0.750 0.639
9 Ga 0.033 0.250 0.830
10 Ga 0.190 0.250 0.637
11 Ga 0.310 0.750 0.137
12 Ga 0.467 0.750 0.330
13 Ga 0.533 0.250 0.670
14 Ga 0.690 0.250 0.863
15 Ga 0.810 0.750 0.363
16 Ga 0.967 0.750 0.170

Summary:
DOS(E_F) ... 0.42 states/eV per atom
Space group ... Pnma, No. 62
DFT total energy ... -3.627 eV/atom

---

Entry 8:
The following is a PBE-GGA calculation of crystalline K2LaSe at its relaxed geometry, from Alexandria via LeMat-Bulk.

abc: 5.821 5.821 5.821
angles: 60.00 60.00 60.00
Element x y z (fractional)
1 K 0.000 0.000 0.000
2 K 0.250 0.250 0.250
3 La 0.750 0.750 0.750
4 Se 0.500 0.500 0.500

Summary:
DOS(E_F) ... 1.30 states/eV per atom
Space group ... F-43m, No. 216
Formation energy from raw total energies ... -6 kJ/mol of atoms
DFT total energy ... -2.712 eV/atom